VASP calculation (GGA-PBE) on PaHg3Br6 after structural relaxation.

Cell lengths 6.9129, 6.9129, 8.8687 Å; angles 90.00, 90.00, 120.00 degrees
Closest atoms and distances in Å follow each position.
Positions (direct):
Pa 0.0000 0.0000 0.0000  6 Br 2.72
Hg 0.0000 0.0000 0.5000  6 Br 3.58, 6 Hg 3.99
Hg 0.3333 0.6667 0.5000  6 Br 3.68, 6 Hg 3.99
Hg 0.6667 0.3333 0.5000  6 Br 3.68, 6 Hg 3.99
Br 0.0000 0.3175 0.8190  1 Pa 2.72
Br 0.0000 0.6825 0.1810  1 Pa 2.72
Br 0.3175 0.0000 0.8190  1 Pa 2.72
Br 0.3175 0.3175 0.1810  1 Pa 2.72
Br 0.6825 0.0000 0.1810  1 Pa 2.72
Br 0.6825 0.6825 0.8190  1 Pa 2.72

## Properties
DOS at the Fermi energy   0.872 states/eV/atom
Symmetry   P-31m, No. 162
Uncorrected formation energy   -0.81 eV per atom